{"formula": "CsMnP2O", "functional": "GGA+U", "state": "optimized geometry", "lattice_angstrom": [[-3.854, -0.796, 3.864], [-0.574, -5.231, -1.650], [3.024, -1.205, 2.768]], "species": ["Cs", "P", "P", "Mn", "O"], "frac_coords": [[0.000, 0.000, 0.000], [0.000, 0.500, 0.000], [0.500, 0.000, 0.000], [0.500, 0.500, 0.500], [0.000, 0.000, 0.500]], "energy_ev_per_atom": -3.36, "rho_kg_m3": 3395, "dos_ef_per_ev_atom": 0.517, "spacegroup": "P4/mmm", "total_magnetization_mub_per_atom": 0.780}